A plane-wave DFT calculation with GGA+U was carried out for a relaxed NaTm2MnO5 crystal.

Cell lengths 6.3649, 6.3649, 5.6700 Å; angles 90.00, 90.00, 90.00 degrees
Fractional coordinates of all 18 atoms:
Na 0.0000 0.0000 0.0000
Na 0.5000 0.5000 0.0000
Tm 0.1777 0.3223 0.5000
Tm 0.3223 0.8223 0.5000
Tm 0.6777 0.1777 0.5000
Tm 0.8223 0.6777 0.5000
Mn 0.0000 0.5000 0.0000
Mn 0.5000 0.0000 0.0000
O 0.0000 0.0000 0.5000
O 0.1396 0.6396 0.2470
O 0.1396 0.6396 0.7530
O 0.3604 0.1396 0.2470
O 0.3604 0.1396 0.7530
O 0.5000 0.5000 0.5000
O 0.6396 0.8604 0.2470
O 0.6396 0.8604 0.7530
O 0.8604 0.3604 0.2470
O 0.8604 0.3604 0.7530

E_tot = -7.353 eV/atom
Crystal system = tetragonal